VASP calculation (GGA-PBE) on an optimized crystal structure of Ac2SF.

The space group is R-3m (No. 166, hexagonal axes) and the conventional cell measures 4.1484, 4.1484 and 20.3212 Å, with angles of 90.00, 90.00 and 120.00 degrees. The asymmetric unit holds Ac at (0.0000, 0.0000, 0.2474), S at (0.0000, 0.0000, 0.0000) and F at (0.0000, 0.0000, 0.5000).

Its energy above the most stable polymorph in this dataset is 0 meV per atom. Its uncorrected formation energy is -2.102 eV per atom.